Entry 1:
# PaMnZnRh, optimized geometry, DFT GGA-PBE
# * magnetic moment: 0.23 μB per atom
# * total energy: -7.05 eV/atom
# * formation enthalpy at 0 K: -231 meV/atom
data_PaMnZnRh
_cell_length_a 6.431
_cell_length_b 6.431
_cell_length_c 6.431
_cell_angle_alpha 90.00
_cell_angle_beta 90.00
_cell_angle_gamma 90.00
_symmetry_space_group_name_H-M 'F -4 3 m'
_symmetry_Int_Tables_number 216
_symmetry_space_group_name_Hall 'F -4 2 3'
loop_
_atom_site_label
_atom_site_type_symbol
_atom_site_fract_x
_atom_site_fract_y
_atom_site_fract_z
Pa1 Pa 0.000 0.000 0.000
Mn1 Mn 0.250 0.250 0.750
Zn1 Zn 0.000 0.000 0.500
Rh1 Rh 0.250 0.250 0.250



Entry 2:
# BaTl2In, optimized geometry, DFT GGA-PBE
# * magnetic moment: 0.00 μB per atom
# * total energy: -2.57 eV/atom
# * formation enthalpy at 0 K: -225 meV/atom
data_BaTl2In
_cell_length_a 4.008
_cell_length_b 5.274
_cell_length_c 6.622
_cell_angle_alpha 90.00
_cell_angle_beta 98.88
_cell_angle_gamma 90.00
_symmetry_space_group_name_H-M 'P 1 2/m 1'
_symmetry_Int_Tables_number 10
_symmetry_space_group_name_Hall '-P 2y'
loop_
_atom_site_label
_atom_site_type_symbol
_atom_site_fract_x
_atom_site_fract_y
_atom_site_fract_z
Ba1 Ba 0.000 0.000 0.000
Tl1 Tl 0.316 0.500 0.718
In1 In 0.500 0.000 0.500



Entry 3:
# ZnAgPtAu, optimized geometry, DFT GGA-PBE
# * magnetic moment: 0.00 μB per atom
# * total energy: -3.59 eV/atom
# * formation enthalpy at 0 K: -233 meV/atom
data_ZnAgPtAu
_cell_length_a 2.922
_cell_length_b 2.922
_cell_length_c 7.642
_cell_angle_alpha 90.00
_cell_angle_beta 90.00
_cell_angle_gamma 90.00
_symmetry_space_group_name_H-M 'P 4 m m'
_symmetry_Int_Tables_number 99
_symmetry_space_group_name_Hall 'P 4 -2'
loop_
_atom_site_label
_atom_site_type_symbol
_atom_site_fract_x
_atom_site_fract_y
_atom_site_fract_z
Zn1 Zn 0.000 0.000 0.000
Ag1 Ag 0.000 0.000 0.478
Pt1 Pt 0.500 0.500 0.212
Au1 Au 0.500 0.500 0.756



Entry 4:
# Dy2Tm4Se9, optimized geometry, DFT GGA-PBE
# * uncorrected formation energy: -1.8495 eV/atom
# * magnetic moment: 0.00 μB per atom
# * total energy: -5.75 eV/atom
data_Dy2Tm4Se9
_cell_length_a 7.132
_cell_length_b 7.134
_cell_length_c 19.338
_cell_angle_alpha 89.99
_cell_angle_beta 89.97
_cell_angle_gamma 60.04
_symmetry_space_group_name_H-M 'P -1'
_symmetry_Int_Tables_number 2
_symmetry_space_group_name_Hall '-P 1'
loop_
_atom_site_label
_atom_site_type_symbol
_atom_site_fract_x
_atom_site_fract_y
_atom_site_fract_z
Dy1 Dy 0.000 0.001 0.152
Dy2 Dy 0.001 0.998 0.348
Tm1 Tm 0.332 0.334 0.819
Tm2 Tm 0.333 0.333 0.014
Tm3 Tm 0.334 0.333 0.320
Tm4 Tm 0.334 0.333 0.513
Se1 Se 0.001 0.309 0.250
Se2 Se 0.026 0.635 0.417
Se3 Se 0.027 0.336 0.917
Se4 Se 0.309 0.000 0.750
Se5 Se 0.309 0.691 0.250
Se6 Se 0.338 0.635 0.917
Se7 Se 0.339 0.025 0.417
Se8 Se 0.363 0.663 0.583
Se9 Se 0.365 0.973 0.083



Entry 5:
# CuSbOs2, optimized geometry, DFT GGA-PBE
# * uncorrected formation energy: 0.7605 eV/atom
# * magnetic moment: 0.00 μB per atom
# * total energy: -6.91 eV/atom
data_CuSbOs2
_cell_length_a 3.0064
_cell_length_b 3.0064
_cell_length_c 24.3776
_cell_angle_alpha 90.00
_cell_angle_beta 90.00
_cell_angle_gamma 120.00
_symmetry_space_group_name_H-M 'R -3 m'
_symmetry_Int_Tables_number 166
_symmetry_space_group_name_Hall '-R 3 2"'
loop_
_atom_site_label
_atom_site_type_symbol
_atom_site_fract_x
_atom_site_fract_y
_atom_site_fract_z
Cu1 Cu 0.0000 0.0000 0.0000
Sb1 Sb 0.0000 0.0000 0.5000
Os1 Os 0.0000 0.0000 0.2508



Entry 6:
# Zn2SnHg2, optimized geometry, DFT GGA-PBE
# * magnetic moment: 0.00 μB per atom
# * relative energy among the computed polymorphs: 0.011 eV/atom
# * total energy: -1.30 eV/atom
# * formation enthalpy at 0 K: 132 meV/atom
data_Zn2SnHg2
_cell_length_a 8.345
_cell_length_b 8.345
_cell_length_c 3.162
_cell_angle_alpha 90.00
_cell_angle_beta 90.00
_cell_angle_gamma 90.00
_symmetry_space_group_name_H-M 'P 4/m b m'
_symmetry_Int_Tables_number 127
_symmetry_space_group_name_Hall '-P 4 2ab'
loop_
_atom_site_label
_atom_site_type_symbol
_atom_site_fract_x
_atom_site_fract_y
_atom_site_fract_z
Zn1 Zn 0.119 0.381 0.000
Sn1 Sn 0.000 0.000 0.500
Hg1 Hg 0.177 0.677 0.500



Entry 7:
# ScNbAlRe, optimized geometry, DFT GGA-PBE
# * magnetic moment: 0.00 μB per atom
# * total energy: -8.44 eV/atom
# * formation enthalpy at 0 K: -294 meV/atom
data_ScNbAlRe
_cell_length_a 6.496
_cell_length_b 6.496
_cell_length_c 6.496
_cell_angle_alpha 90.00
_cell_angle_beta 90.00
_cell_angle_gamma 90.00
_symmetry_space_group_name_H-M 'F -4 3 m'
_symmetry_Int_Tables_number 216
_symmetry_space_group_name_Hall 'F -4 2 3'
loop_
_atom_site_label
_atom_site_type_symbol
_atom_site_fract_x
_atom_site_fract_y
_atom_site_fract_z
Sc1 Sc 0.000 0.000 0.000
Nb1 Nb 0.000 0.000 0.500
Al1 Al 0.250 0.250 0.250
Re1 Re 0.250 0.250 0.750



Entry 8:
# ErSc4O, optimized geometry, DFT GGA-PBE
# * uncorrected formation energy: -0.8459 eV/atom
# * magnetic moment: 0.00 μB per atom
# * total energy: -6.65 eV/atom
data_ErSc4O
_cell_length_a 7.439
_cell_length_b 5.967
_cell_length_c 5.967
_cell_angle_alpha 90.00
_cell_angle_beta 90.10
_cell_angle_gamma 90.00
_symmetry_space_group_name_H-M 'P 1 21/c 1'
_symmetry_Int_Tables_number 14
_symmetry_space_group_name_Hall '-P 2ybc'
loop_
_atom_site_label
_atom_site_type_symbol
_atom_site_fract_x
_atom_site_fract_y
_atom_site_fract_z
Er1 Er 0.000 0.000 0.000
Sc1 Sc 0.206 0.002 0.501
Sc2 Sc 0.498 0.671 0.671
O1 O 0.500 0.000 0.500



Entry 9:
# Hf2ThZn, optimized geometry, DFT GGA-PBE
# * magnetic moment: 0.00 μB per atom
# * relative energy among the computed polymorphs: 0.000 eV/atom
# * total energy: -7.15 eV/atom
# * formation enthalpy at 0 K: 3 meV/atom
data_Hf2ThZn
_cell_length_a 3.341
_cell_length_b 3.341
_cell_length_c 8.142
_cell_angle_alpha 90.00
_cell_angle_beta 90.00
_cell_angle_gamma 90.00
_symmetry_space_group_name_H-M 'P 4/m m m'
_symmetry_Int_Tables_number 123
_symmetry_space_group_name_Hall '-P 4 2'
loop_
_atom_site_label
_atom_site_type_symbol
_atom_site_fract_x
_atom_site_fract_y
_atom_site_fract_z
Hf1 Hf 0.000 0.000 0.205
Th1 Th 0.500 0.500 0.500
Zn1 Zn 0.500 0.500 0.000



Entry 10:
# VRuW, optimized geometry, DFT GGA-PBE
# * magnetic moment: 0.00 μB per atom
# * relative energy among the computed polymorphs: 0.025 eV/atom
# * total energy: -10.52 eV/atom
# * formation enthalpy at 0 K: -72 meV/atom
data_VRuW
_cell_length_a 9.678
_cell_length_b 3.057
_cell_length_c 6.260
_cell_angle_alpha 90.00
_cell_angle_beta 109.40
_cell_angle_gamma 90.00
_symmetry_space_group_name_H-M 'C 1 m 1'
_symmetry_Int_Tables_number 8
_symmetry_space_group_name_Hall 'C -2y'
loop_
_atom_site_label
_atom_site_type_symbol
_atom_site_fract_x
_atom_site_fract_y
_atom_site_fract_z
V1 V 0.000 0.000 0.000
V2 V 0.155 0.500 0.841
Ru1 Ru 0.005 0.000 0.505
Ru2 Ru 0.321 0.000 0.693
W1 W 0.172 0.500 0.337
W2 W 0.335 0.000 0.164



magnetic moment of number 9 (Hf2ThZn)? 0.00 μB per atom